Entry 1:
CuSb2Cl (PBE, relaxed); raw formation energy = 0.92 eV/f.u.
1.0
-1.354 0.724 5.075
4.687 -1.957 1.522
1.227 2.875 -0.082
Sb Cu Cl
2 1 1
Cartesian
0.000 0.000 0.000
1.666 -0.617 3.298
2.957 0.459 0.720
-0.064 1.800 2.496


Entry 2:
AcTb2Sm3 (PBE, relaxed); ΔE_f = 2.227 eV/f.u.
1.0
3.523 0.000 0.000
0.000 6.193 0.000
-1.761 -3.096 9.865
Ac Tb Sm
1 2 3
Cartesian
0.000 0.000 0.000
1.761 3.096 2.750
0.000 0.000 7.116
0.000 3.096 0.000
1.761 3.096 6.073
0.000 0.000 3.792


no.,offset from the most stable computed form (eV per atom)
1,0.3796
2,0.2838